No. 1
SrZnTe2: optimized geometry, GGA-PBEsol.

## Properties
formation energy from raw total energies = -0.912 eV/atom
E_tot = -3.531 eV/atom

Lattice parameters (Å, degrees): 6.9044 6.9044 6.9044 112.34 112.34 103.87
Sites, in units of the cell vectors:
Sr: 0.0000 0.0000 0.0000
Sr: 0.7500 0.2500 0.5000
Zn: 0.2500 0.7500 0.5000
Zn: 0.5000 0.5000 0.0000
Te: 0.1894 0.1250 0.5644
Te: 0.3750 0.8106 0.9356
Te: 0.5606 0.6250 0.4356
Te: 0.8750 0.4394 0.0644

No. 2
SrZnTe2: optimized geometry, GGA-PBEsol.

## Properties
formation energy from raw total energies = -0.743 eV/atom
E_tot = -3.361 eV/atom

Lattice parameters (Å, degrees): 4.3617 4.3617 6.6940 90.00 90.00 90.00
Sites, in units of the cell vectors:
Sr: 0.0000 0.0000 0.0000
Zn: 0.5000 0.5000 0.5369
Te: 0.0000 0.0000 0.4827
Te: 0.5000 0.5000 0.9272

No. 3
SrZnTe2: optimized geometry, GGA-PBEsol.

## Properties
formation energy from raw total energies = -0.900 eV/atom
E_tot = -3.519 eV/atom

Lattice parameters (Å, degrees): 4.7384 4.4320 6.6621 90.00 98.96 90.00
Sites, in units of the cell vectors:
Sr: 0.0000 0.0000 0.0000
Zn: 0.2009 0.5000 0.6145
Te: 0.4937 0.5000 0.9767
Te: 0.9441 0.0000 0.4841

No. 4
Sr3ZnTe: optimized geometry, GGA-PBEsol.

## Properties
formation energy from raw total energies = -0.339 eV/atom
E_tot = -2.465 eV/atom

Lattice parameters (Å, degrees): 5.8441 5.8441 5.8441 90.00 90.00 90.00
Sites, in units of the cell vectors:
Sr: 0.0000 0.0000 0.5000
Sr: 0.0000 0.5000 0.0000
Sr: 0.5000 0.0000 0.0000
Zn: 0.0000 0.0000 0.0000
Te: 0.5000 0.5000 0.5000

No. 5
SrTiW3: optimized geometry, GGA-PBEsol.

## Properties
formation energy = 9.0 eV per formula unit
E_tot = -8.520 eV/atom

Lattice parameters (Å, degrees): 4.7176 4.7176 4.7176 90.00 90.00 90.00
Sites, in units of the cell vectors:
Sr: 0.0000 0.0000 0.0000
Ti: 0.5000 0.5000 0.5000
W: 0.0000 0.5000 0.5000
W: 0.5000 0.0000 0.5000
W: 0.5000 0.5000 0.0000

No. 6
SrYTi2: optimized geometry, GGA-PBEsol.

## Properties
formation energy = 3.0 eV per formula unit
E_tot = -5.586 eV/atom

Lattice parameters (Å, degrees): 5.2731 5.2731 5.2731 60.00 60.00 60.00
Sites, in units of the cell vectors:
Sr: 0.0000 0.0000 0.0000
Y: 0.5000 0.5000 0.5000
Ti: 0.2500 0.2500 0.2500
Ti: 0.7500 0.7500 0.7500

No. 7
Sr3TiZn: optimized geometry, GGA-PBEsol.

## Properties
formation energy = 4.4 eV per formula unit
E_tot = -2.201 eV/atom

Lattice parameters (Å, degrees): 6.0884 6.0884 6.0884 90.00 90.00 90.00
Sites, in units of the cell vectors:
Sr: 0.0000 0.0000 0.5000
Sr: 0.0000 0.5000 0.0000
Sr: 0.5000 0.0000 0.0000
Ti: 0.0000 0.0000 0.0000
Zn: 0.5000 0.5000 0.5000

No. 8
SrTl2: optimized geometry, GGA-PBEsol.

## Properties
formation energy = 0.1 eV per formula unit
E_tot = -2.343 eV/atom

Lattice parameters (Å, degrees): 5.3182 5.3182 5.3182 60.00 60.00 60.00
Sites, in units of the cell vectors:
Sr: 0.0000 0.0000 0.0000
Tl: 0.2500 0.2500 0.2500
Tl: 0.7500 0.7500 0.7500

No. 9
SrTl2: optimized geometry, GGA-PBEsol.

## Properties
formation energy = -1.0 eV per formula unit
E_tot = -2.694 eV/atom

Lattice parameters (Å, degrees): 6.3679 6.3679 6.3679 60.00 60.00 60.00
Sites, in units of the cell vectors:
Sr: 0.1250 0.1250 0.1250
Sr: 0.8750 0.8750 0.8750
Tl: 0.0000 0.5000 0.5000
Tl: 0.5000 0.0000 0.5000
Tl: 0.5000 0.5000 0.0000
Tl: 0.5000 0.5000 0.5000

No. 10
SrTl2: optimized geometry, GGA-PBEsol.

## Properties
formation energy = -1.1 eV per formula unit
E_tot = -2.743 eV/atom

Lattice parameters (Å, degrees): 6.4874 6.4874 7.9852 127.24 127.24 46.20
Sites, in units of the cell vectors:
Sr: 0.0370 0.0370 0.2909
Sr: 0.9630 0.9630 0.7091
Tl: 0.3331 0.3331 0.3224
Tl: 0.3394 0.3394 0.9189
Tl: 0.6606 0.6606 0.0811
Tl: 0.6669 0.6669 0.6776

No. 11
SrTl2: optimized geometry, GGA-PBEsol.

## Properties
formation energy = -1.0 eV per formula unit
E_tot = -2.695 eV/atom

Lattice parameters (Å, degrees): 8.1551 8.1551 5.6046 90.00 90.00 150.47
Sites, in units of the cell vectors:
Sr: 0.0983 0.9017 0.7500
Sr: 0.9017 0.0983 0.2500
Tl: 0.2299 0.7701 0.2500
Tl: 0.4253 0.5747 0.7500
Tl: 0.5747 0.4253 0.2500
Tl: 0.7701 0.2299 0.7500

No. 12
Sr5Tl3: optimized geometry, GGA-PBEsol.

## Properties
formation energy = -2.8 eV per formula unit
E_tot = -2.490 eV/atom

Lattice parameters (Å, degrees): 9.9922 9.9922 9.9922 128.16 128.16 76.37
Sites, in units of the cell vectors:
Sr: 0.0000 0.0000 0.0000
Sr: 0.0253 0.5253 0.8425
Sr: 0.1828 0.0253 0.5000
Sr: 0.3172 0.8172 0.8425
Sr: 0.4747 0.3172 0.5000
Sr: 0.5000 0.5000 0.0000
Sr: 0.5253 0.6828 0.5000
Sr: 0.6828 0.1828 0.1575
Sr: 0.8172 0.9747 0.5000
Sr: 0.9747 0.4747 0.1575
Tl: 0.1221 0.3779 0.5000
Tl: 0.2500 0.2500 0.0000
Tl: 0.3779 0.8779 0.2558
Tl: 0.6221 0.1221 0.7442
Tl: 0.7500 0.7500 0.0000
Tl: 0.8779 0.6221 0.5000

No. 13
Sr5Tl4: optimized geometry, GGA-PBEsol.

## Properties
formation energy = -3.1 eV per formula unit
E_tot = -2.541 eV/atom

Lattice parameters (Å, degrees): 10.0780 10.0780 7.0723 90.00 90.00 120.00
Sites, in units of the cell vectors:
Sr: 0.0000 0.2890 0.2500
Sr: 0.0000 0.7110 0.7500
Sr: 0.2890 0.0000 0.2500
Sr: 0.2890 0.2890 0.7500
Sr: 0.3333 0.6667 0.0000
Sr: 0.3333 0.6667 0.5000
Sr: 0.6667 0.3333 0.0000
Sr: 0.6667 0.3333 0.5000
Sr: 0.7110 0.0000 0.7500
Sr: 0.7110 0.7110 0.2500
Tl: 0.0000 0.0000 0.0000
Tl: 0.0000 0.0000 0.5000
Tl: 0.0000 0.3768 0.7500
Tl: 0.0000 0.6232 0.2500
Tl: 0.3768 0.0000 0.7500
Tl: 0.3768 0.3768 0.2500
Tl: 0.6232 0.0000 0.2500
Tl: 0.6232 0.6232 0.7500

No. 14
Sr5Tl3: optimized geometry, GGA-PBEsol.

## Properties
formation energy = -2.8 eV per formula unit
E_tot = -2.482 eV/atom

Lattice parameters (Å, degrees): 10.0515 10.0515 6.8379 90.00 90.00 120.00
Sites, in units of the cell vectors:
Sr: 0.0000 0.2682 0.2500
Sr: 0.0000 0.7318 0.7500
Sr: 0.2682 0.0000 0.2500
Sr: 0.2682 0.2682 0.7500
Sr: 0.3333 0.6667 0.0000
Sr: 0.3333 0.6667 0.5000
Sr: 0.6667 0.3333 0.0000
Sr: 0.6667 0.3333 0.5000
Sr: 0.7318 0.0000 0.7500
Sr: 0.7318 0.7318 0.2500
Tl: 0.0000 0.3928 0.7500
Tl: 0.0000 0.6072 0.2500
Tl: 0.3928 0.0000 0.7500
Tl: 0.3928 0.3928 0.2500
Tl: 0.6072 0.0000 0.2500
Tl: 0.6072 0.6072 0.7500

No. 15
SrTl2: optimized geometry, GGA-PBEsol.

## Properties
formation energy = -1.1 eV per formula unit
E_tot = -2.734 eV/atom

Lattice parameters (Å, degrees): 5.1465 5.1465 3.9805 90.00 90.00 120.00
Sites, in units of the cell vectors:
Sr: 0.0000 0.0000 0.0000
Tl: 0.3333 0.6667 0.5900
Tl: 0.6667 0.3333 0.4100

No. 16
SrTl2: optimized geometry, GGA-PBEsol.

## Properties
formation energy = -1.1 eV per formula unit
E_tot = -2.724 eV/atom

Lattice parameters (Å, degrees): 6.9683 5.1897 9.9151 90.00 90.00 90.00
Sites, in units of the cell vectors:
Sr: 0.1665 0.2500 0.0887
Sr: 0.3335 0.7500 0.5887
Sr: 0.6665 0.2500 0.4113
Sr: 0.8335 0.7500 0.9113
Tl: 0.0432 0.2500 0.7357
Tl: 0.1525 0.2500 0.4218
Tl: 0.3475 0.7500 0.9218
Tl: 0.4568 0.7500 0.2357
Tl: 0.5432 0.2500 0.7643
Tl: 0.6525 0.2500 0.0782
Tl: 0.8475 0.7500 0.5782
Tl: 0.9568 0.7500 0.2643

No. 17
SrTl2: optimized geometry, GGA-PBEsol.

## Properties
formation energy = -1.2 eV per formula unit
E_tot = -2.768 eV/atom

Lattice parameters (Å, degrees): 5.0895 5.0895 8.0836 90.00 90.00 120.00
Sites, in units of the cell vectors:
Sr: 0.0000 0.0000 0.2500
Sr: 0.0000 0.0000 0.7500
Tl: 0.3333 0.6667 0.0474
Tl: 0.3333 0.6667 0.4526
Tl: 0.6667 0.3333 0.5474
Tl: 0.6667 0.3333 0.9526

No. 18
Sr3Tl2: optimized geometry, GGA-PBEsol.

## Properties
formation energy = -1.7 eV per formula unit
E_tot = -2.495 eV/atom

Lattice parameters (Å, degrees): 5.6009 5.6009 6.9477 90.00 90.00 120.00
Sites, in units of the cell vectors:
Sr: 0.0000 0.0000 0.0000
Sr: 0.3333 0.6667 0.3377
Sr: 0.6667 0.3333 0.6623
Tl: 0.3333 0.6667 0.8466
Tl: 0.6667 0.3333 0.1534

No. 19
SrTl4: optimized geometry, GGA-PBEsol.

## Properties
formation energy = -1.2 eV per formula unit
E_tot = -2.705 eV/atom

Lattice parameters (Å, degrees): 5.9985 5.9985 5.9985 99.12 99.12 133.09
Sites, in units of the cell vectors:
Sr: 0.0000 0.0000 0.0000
Tl: 0.1928 0.5864 0.7792
Tl: 0.4136 0.1928 0.6064
Tl: 0.5864 0.8072 0.3936
Tl: 0.8072 0.4136 0.2208

No. 20
SrTl2: optimized geometry, GGA-PBEsol.

## Properties
formation energy = -1.0 eV per formula unit
E_tot = -2.688 eV/atom

Lattice parameters (Å, degrees): 6.4811 6.4811 6.4811 144.47 144.47 51.13
Sites, in units of the cell vectors:
Sr: 0.0000 0.0000 0.0000
Tl: 0.3191 0.3191 0.0000
Tl: 0.6809 0.6809 0.0000

No. 21
Sr3Tl5: optimized geometry, GGA-PBEsol.

## Properties
formation energy = -3.2 eV per formula unit
E_tot = -2.738 eV/atom

Lattice parameters (Å, degrees): 6.7760 6.7760 10.9953 90.00 90.00 77.65
Sites, in units of the cell vectors:
Sr: 0.1046 0.8954 0.7500
Sr: 0.2900 0.2900 0.0000
Sr: 0.2900 0.2900 0.5000
Sr: 0.7100 0.7100 0.0000
Sr: 0.7100 0.7100 0.5000
Sr: 0.8954 0.1046 0.2500
Tl: 0.0201 0.5662 0.2500
Tl: 0.1979 0.8021 0.0422
Tl: 0.1979 0.8021 0.4578
Tl: 0.4338 0.9799 0.2500
Tl: 0.4957 0.5043 0.7500
Tl: 0.5043 0.4957 0.2500
Tl: 0.5662 0.0201 0.7500
Tl: 0.8021 0.1979 0.5422
Tl: 0.8021 0.1979 0.9578
Tl: 0.9799 0.4338 0.7500

No. 22
SrTlW2: optimized geometry, GGA-PBEsol.

## Properties
formation energy = 3.2 eV per formula unit
E_tot = -7.212 eV/atom

Lattice parameters (Å, degrees): 4.5444 4.5444 7.1481 96.45 96.45 39.73
Sites, in units of the cell vectors:
Sr: 0.0000 0.0000 0.0000
Tl: 0.2432 0.2432 0.6772
W: 0.4962 0.4962 0.4392
W: 0.7689 0.7689 0.3121

No. 23
SrY2Tl: optimized geometry, GGA-PBEsol.

## Properties
formation energy = -0.5 eV per formula unit
E_tot = -4.649 eV/atom

Lattice parameters (Å, degrees): 3.6555 4.7774 7.1220 90.00 90.00 90.00
Sites, in units of the cell vectors:
Sr: 0.0000 0.0000 0.0000
Y: 0.0000 0.0000 0.4721
Y: 0.5000 0.5000 0.6956
Tl: 0.5000 0.5000 0.2534

No. 24
SrYTl: optimized geometry, GGA-PBEsol.

## Properties
formation energy = -0.3 eV per formula unit
E_tot = -3.868 eV/atom

Lattice parameters (Å, degrees): 5.3419 5.3419 5.3419 60.00 60.00 60.00
Sites, in units of the cell vectors:
Sr: 0.0000 0.0000 0.0000
Y: 0.5000 0.5000 0.5000
Tl: 0.7500 0.7500 0.7500

No. 25
SrY2Tl: optimized geometry, GGA-PBEsol.

## Properties
formation energy = -0.7 eV per formula unit
E_tot = -4.708 eV/atom

Lattice parameters (Å, degrees): 6.9140 6.9140 6.9140 148.31 131.81 58.83
Sites, in units of the cell vectors:
Sr: 0.0000 0.0000 0.0000
Y: 0.2879 0.7879 0.5000
Y: 0.7121 0.2121 0.5000
Tl: 0.5000 0.5000 0.0000

No. 26
SrYTl: optimized geometry, GGA-PBEsol.

## Properties
formation energy = -1.1 eV per formula unit
E_tot = -4.121 eV/atom

Lattice parameters (Å, degrees): 8.3262 5.1637 9.0603 90.00 90.00 90.00
Sites, in units of the cell vectors:
Sr: 0.0165 0.2500 0.1811
Sr: 0.4835 0.7500 0.6811
Sr: 0.5165 0.2500 0.3189
Sr: 0.9835 0.7500 0.8189
Y: 0.1510 0.2500 0.5792
Y: 0.3490 0.7500 0.0792
Y: 0.6510 0.2500 0.9208
Y: 0.8490 0.7500 0.4208
Tl: 0.2189 0.7500 0.3988
Tl: 0.2811 0.2500 0.8988
Tl: 0.7189 0.7500 0.1012
Tl: 0.7811 0.2500 0.6012

| no. | spin magnetization (μB/cell) |
| --- | --- |
| 1 | 0.00 |
| 2 | 0.00 |
| 3 | 0.00 |
| 4 | 0.00 |
| 5 | 0.00 |
| 6 | 3.95 |
| 7 | 3.95 |
| 8 | 0.00 |
| 9 | 0.00 |
| 10 | 0.00 |
| 11 | 0.00 |
| 12 | 0.00 |
| 13 | 0.00 |
| 14 | 0.00 |
| 15 | 0.00 |
| 16 | 0.00 |
| 17 | 0.00 |
| 18 | 0.00 |
| 19 | 0.00 |
| 20 | 0.00 |
| 21 | 0.00 |
| 22 | 0.00 |
| 23 | 0.00 |
| 24 | 0.00 |
| 25 | 0.00 |
| 26 | 0.00 |